A geometry-optimized KCdOs2 structure. Source: the Alexandria database, functional PBE-GGA.

```
KCdOs2
1.0
6.244 0.009 0.038
5.616 2.731 0.038
2.091 0.483 4.463
Cd K Os
1 1 2
Direct
0.250 0.250 0.250
0.750 0.750 0.750
0.976 0.976 0.003
0.524 0.524 0.497
```

Values from the calculation:
Magnetization = 0.00 μB per cell
Space-group type = C2/m
Crystal system = monoclinic
Total DFT energy (no corrections) = -5.002 eV per atom